# Te2RuSe GGA-PBE relaxed
data_Te2RuSe
_chemical_formula_sum 'Te2 Ru1 Se1'
_cell_length_a 7.7770
_cell_length_b 7.7770
_cell_length_c 7.7770
_cell_angle_alpha 28.07
_cell_angle_beta 28.07
_cell_angle_gamma 28.07
_space_group_name_H-M_alt 'P 1'
_space_group_IT_number 1
loop_
_space_group_symop_operation_xyz
'x,y,z'
loop_
_atom_site_label
_atom_site_fract_x
_atom_site_fract_y
_atom_site_fract_z
_atom_site_occupancy
Te1 0.5132 0.5132 0.5132 1
Te2 0.9868 0.9868 0.9868 1
Se1 0.7500 0.7500 0.7500 1
Ru1 0.2500 0.2500 0.2500 1
# mass density: 7.86 g/cm³
# raw total energy: -0.1718 Ha/atom
# space-group type: No. 166

---

# Co4Tc5 GGA-PBE relaxed
data_Co4Tc5
_chemical_formula_sum 'Co8 Tc10'
_cell_length_a 7.1753
_cell_length_b 7.1753
_cell_length_c 5.1967
_cell_angle_alpha 90.00
_cell_angle_beta 90.00
_cell_angle_gamma 60.00
_space_group_name_H-M_alt 'P 1'
_space_group_IT_number 1
loop_
_space_group_symop_operation_xyz
'x,y,z'
loop_
_atom_site_label
_atom_site_fract_x
_atom_site_fract_y
_atom_site_fract_z
_atom_site_occupancy
Tc1 0.0000 0.3270 0.2500 1
Tc2 0.3333 0.3333 0.5000 1
Tc3 0.6730 0.3270 0.7500 1
Co1 0.6644 0.0000 0.7500 1
Co2 0.3356 0.0000 0.2500 1
Tc4 0.3270 0.6730 0.2500 1
Co3 0.3356 0.6644 0.7500 1
Co4 0.0000 0.3356 0.7500 1
Co5 0.6644 0.3356 0.2500 1
Tc5 0.0000 0.6730 0.7500 1
Tc6 0.6667 0.6667 0.5000 1
Tc7 0.6667 0.6667 0.0000 1
Tc8 0.6730 0.0000 0.2500 1
Co6 0.0000 0.6644 0.2500 1
Tc9 0.3270 0.0000 0.7500 1
Co7 0.0000 0.0000 0.0000 1
Tc10 0.3333 0.3333 0.0000 1
Co8 0.0000 0.0000 0.5000 1
# mass density: 10.40 g/cm³
# raw total energy: -0.3237 Ha/atom
# space-group type: No. 193

---

# Tm2PuUC4 GGA-PBE relaxed
data_Tm2PuUC4
_chemical_formula_sum 'Tm2 Pu1 U1 C4'
_cell_length_a 3.5589
_cell_length_b 6.0475
_cell_length_c 6.1448
_cell_angle_alpha 69.81
_cell_angle_beta 90.00
_cell_angle_gamma 90.00
_space_group_name_H-M_alt 'P 1'
_space_group_IT_number 1
loop_
_space_group_symop_operation_xyz
'x,y,z'
loop_
_atom_site_label
_atom_site_fract_x
_atom_site_fract_y
_atom_site_fract_z
_atom_site_occupancy
Tm1 0.5000 0.0000 0.5000 1
C1 0.0000 0.7231 0.7702 1
C2 0.0000 0.2769 0.2298 1
Pu1 0.0000 0.5000 0.5000 1
C3 0.5000 0.2751 0.7459 1
Tm2 0.0000 0.0000 0.0000 1
C4 0.5000 0.7249 0.2541 1
U1 0.5000 0.5000 0.0000 1
# mass density: 11.61 g/cm³
# raw total energy: -0.3359 Ha/atom
# space-group type: No. 10

---

# CaVH GGA-PBE relaxed
data_CaVH
_chemical_formula_sum 'Ca2 V2 H2'
_cell_length_a 3.2579
_cell_length_b 3.2579
_cell_length_c 10.2289
_cell_angle_alpha 90.00
_cell_angle_beta 90.00
_cell_angle_gamma 120.00
_space_group_name_H-M_alt 'P 1'
_space_group_IT_number 1
loop_
_space_group_symop_operation_xyz
'x,y,z'
loop_
_atom_site_label
_atom_site_fract_x
_atom_site_fract_y
_atom_site_fract_z
_atom_site_occupancy
Ca1 0.3333 0.6667 0.1587 1
Ca2 0.3333 0.6667 0.8413 1
H1 0.6667 0.3333 0.5000 1
H2 0.6667 0.3333 0.0000 1
V1 0.0000 0.0000 0.5943 1
V2 0.0000 0.0000 0.4057 1
# mass density: 3.25 g/cm³
# raw total energy: -0.1642 Ha/atom
# space-group type: No. 187

---

# VCdAu GGA-PBE relaxed
data_VCdAu
_chemical_formula_sum 'V2 Cd2 Au2'
_cell_length_a 4.2866
_cell_length_b 4.4434
_cell_length_c 6.2159
_cell_angle_alpha 84.49
_cell_angle_beta 70.97
_cell_angle_gamma 79.87
_space_group_name_H-M_alt 'P 1'
_space_group_IT_number 1
loop_
_space_group_symop_operation_xyz
'x,y,z'
loop_
_atom_site_label
_atom_site_fract_x
_atom_site_fract_y
_atom_site_fract_z
_atom_site_occupancy
Cd1 0.8733 0.7456 0.6618 1
V1 0.1819 0.8237 0.0008 1
Cd2 0.1267 0.2544 0.3382 1
V2 0.8181 0.1763 0.9992 1
Au1 0.4201 0.3027 0.7123 1
Au2 0.5799 0.6973 0.2877 1
# mass density: 10.87 g/cm³
# raw total energy: -0.1582 Ha/atom
# space-group type: No. 2

---

# PrPu2RhN4 GGA-PBE relaxed
data_PrPu2RhN4
_chemical_formula_sum 'Pr2 Pu4 Rh2 N8'
_cell_length_a 3.4469
_cell_length_b 6.0290
_cell_length_c 11.7340
_cell_angle_alpha 90.00
_cell_angle_beta 90.00
_cell_angle_gamma 106.61
_space_group_name_H-M_alt 'P 1'
_space_group_IT_number 1
loop_
_space_group_symop_operation_xyz
'x,y,z'
loop_
_atom_site_label
_atom_site_fract_x
_atom_site_fract_y
_atom_site_fract_z
_atom_site_occupancy
N1 0.2660 0.5320 0.3953 1
Rh1 0.8458 0.6916 0.7500 1
N2 0.7340 0.4680 0.8953 1
Pr1 0.8924 0.7849 0.2500 1
Pr2 0.1076 0.2151 0.7500 1
Pu1 0.3703 0.7405 0.5545 1
N3 0.0000 0.0000 0.0000 1
N4 0.2660 0.5320 0.1047 1
Pu2 0.6297 0.2595 0.0545 1
Pu3 0.6297 0.2595 0.4455 1
Rh2 0.1542 0.3084 0.2500 1
N5 0.7340 0.4680 0.6047 1
N6 0.5506 0.1013 0.2500 1
Pu4 0.3703 0.7405 0.9455 1
N7 0.0000 0.0000 0.5000 1
N8 0.4494 0.8987 0.7500 1
# mass density: 11.20 g/cm³
# raw total energy: -0.3741 Ha/atom
# space-group type: No. 63

---

# TbSc3Tc GGA-PBE relaxed
data_TbSc3Tc
_chemical_formula_sum 'Tb1 Sc3 Tc1'
_cell_length_a 5.0663
_cell_length_b 5.0663
_cell_length_c 5.0663
_cell_angle_alpha 90.00
_cell_angle_beta 90.00
_cell_angle_gamma 90.00
_space_group_name_H-M_alt 'P 1'
_space_group_IT_number 1
loop_
_space_group_symop_operation_xyz
'x,y,z'
loop_
_atom_site_label
_atom_site_fract_x
_atom_site_fract_y
_atom_site_fract_z
_atom_site_occupancy
Sc1 0.0000 0.5000 0.0000 1
Tc1 0.0000 0.0000 0.0000 1
Sc2 0.0000 0.0000 0.5000 1
Sc3 0.5000 0.0000 0.0000 1
Tb1 0.5000 0.5000 0.5000 1
# mass density: 5.00 g/cm³
# raw total energy: -0.2482 Ha/atom
# space-group type: No. 221

---

# PrSm4Er2 GGA-PBE relaxed
data_PrSm4Er2
_chemical_formula_sum 'Pr2 Sm8 Er4'
_cell_length_a 8.5169
_cell_length_b 8.7266
_cell_length_c 6.6600
_cell_angle_alpha 99.63
_cell_angle_beta 105.79
_cell_angle_gamma 91.36
_space_group_name_H-M_alt 'P 1'
_space_group_IT_number 1
loop_
_space_group_symop_operation_xyz
'x,y,z'
loop_
_atom_site_label
_atom_site_fract_x
_atom_site_fract_y
_atom_site_fract_z
_atom_site_occupancy
Sm1 0.1575 0.4777 0.2669 1
Er1 0.8073 0.3325 0.8558 1
Sm2 0.7468 0.9332 0.5937 1
Sm3 0.8645 0.2161 0.3516 1
Er2 0.2173 0.3452 0.7654 1
Pr1 0.1055 0.0617 0.0404 1
Sm4 0.9298 0.6105 0.6222 1
Sm5 0.4562 0.1894 0.4430 1
Er3 0.5684 0.4597 0.1758 1
Sm6 0.5210 0.0684 0.9365 1
Sm7 0.5074 0.6158 0.6679 1
Er4 0.3673 0.7722 0.1249 1
Sm8 0.8227 0.7603 0.1100 1
Pr2 0.1783 0.9073 0.5460 1
# mass density: 7.64 g/cm³
# raw total energy: -0.1694 Ha/atom
# space-group type: No. 1

---

# Be2Co2Cu GGA-PBE relaxed
data_Be2Co2Cu
_chemical_formula_sum 'Be4 Co4 Cu2'
_cell_length_a 6.3929
_cell_length_b 6.3929
_cell_length_c 2.4506
_cell_angle_alpha 90.00
_cell_angle_beta 90.00
_cell_angle_gamma 90.00
_space_group_name_H-M_alt 'P 1'
_space_group_IT_number 1
loop_
_space_group_symop_operation_xyz
'x,y,z'
loop_
_atom_site_label
_atom_site_fract_x
_atom_site_fract_y
_atom_site_fract_z
_atom_site_occupancy
Co1 0.3734 0.8734 0.0000 1
Be1 0.3293 0.1707 0.5000 1
Co2 0.8734 0.6266 0.0000 1
Co3 0.6266 0.1266 0.0000 1
Be2 0.8293 0.3293 0.5000 1
Be3 0.6707 0.8293 0.5000 1
Co4 0.1266 0.3734 0.0000 1
Be4 0.1707 0.6707 0.5000 1
Cu1 0.0000 0.0000 0.0000 1
Cu2 0.5000 0.5000 0.0000 1
# mass density: 6.61 g/cm³
# raw total energy: -0.1883 Ha/atom
# space-group type: No. 127

---

# Ho6Hg5Pd GGA-PBE relaxed
data_Ho6Hg5Pd
_chemical_formula_sum 'Ho6 Hg5 Pd1'
_cell_length_a 5.1782
_cell_length_b 7.3665
_cell_length_c 8.1849
_cell_angle_alpha 90.00
_cell_angle_beta 71.52
_cell_angle_gamma 90.00
_space_group_name_H-M_alt 'P 1'
_space_group_IT_number 1
loop_
_space_group_symop_operation_xyz
'x,y,z'
loop_
_atom_site_label
_atom_site_fract_x
_atom_site_fract_y
_atom_site_fract_z
_atom_site_occupancy
Ho1 0.5000 0.7609 0.0000 1
Hg1 0.6713 0.0000 0.6573 1
Ho2 0.8386 0.2453 0.3227 1
Hg2 0.3314 0.5000 0.3364 1
Pd1 0.0000 0.0000 0.0000 1
Hg3 0.3287 0.0000 0.3427 1
Hg4 0.0000 0.5000 0.0000 1
Ho3 0.5000 0.2391 0.0000 1
Ho4 0.1614 0.7547 0.6773 1
Hg5 0.6686 0.5000 0.6636 1
Ho5 0.1614 0.2453 0.6773 1
Ho6 0.8386 0.7547 0.3227 1
# mass density: 11.77 g/cm³
# raw total energy: -0.1247 Ha/atom
# space-group type: No. 65

---

# Sm4PdRu GGA-PBE relaxed
data_Sm4PdRu
_chemical_formula_sum 'Sm8 Pd2 Ru2'
_cell_length_a 6.5382
_cell_length_b 6.9998
_cell_length_c 6.9998
_cell_angle_alpha 90.00
_cell_angle_beta 90.00
_cell_angle_gamma 90.00
_space_group_name_H-M_alt 'P 1'
_space_group_IT_number 1
loop_
_space_group_symop_operation_xyz
'x,y,z'
loop_
_atom_site_label
_atom_site_fract_x
_atom_site_fract_y
_atom_site_fract_z
_atom_site_occupancy
Ru1 0.7500 0.5000 0.5000 1
Ru2 0.2500 0.5000 0.5000 1
Sm1 0.0000 0.8110 0.3265 1
Sm2 0.0000 0.6735 0.8110 1
Sm3 0.5000 0.3265 0.8110 1
Sm4 0.0000 0.3265 0.1890 1
Sm5 0.5000 0.8110 0.6735 1
Sm6 0.0000 0.1890 0.6735 1
Pd1 0.7500 0.0000 0.0000 1
Sm7 0.5000 0.6735 0.1890 1
Pd2 0.2500 0.0000 0.0000 1
Sm8 0.5000 0.1890 0.3265 1
# mass density: 8.39 g/cm³
# raw total energy: -0.2181 Ha/atom
# space-group type: No. 124

---

# TiNiS2N GGA-PBE relaxed
data_TiNiS2N
_chemical_formula_sum 'Ti1 Ni1 S2 N1'
_cell_length_a 4.7532
_cell_length_b 4.7532
_cell_length_c 3.7360
_cell_angle_alpha 90.00
_cell_angle_beta 90.00
_cell_angle_gamma 90.00
_space_group_name_H-M_alt 'P 1'
_space_group_IT_number 1
loop_
_space_group_symop_operation_xyz
'x,y,z'
loop_
_atom_site_label
_atom_site_fract_x
_atom_site_fract_y
_atom_site_fract_z
_atom_site_occupancy
Ni1 0.5000 0.5000 0.5000 1
N1 0.0000 0.0000 0.5000 1
S1 0.0000 0.5000 0.0000 1
S2 0.5000 0.0000 0.0000 1
Ti1 0.0000 0.0000 0.0000 1
# mass density: 3.63 g/cm³
# raw total energy: -0.2102 Ha/atom
# space-group type: No. 123

---

Question: The highest raw total energy belongs to which entry?
Answer: Ho6Hg5Pd

---

Question: What is the mass density in the fifth record?
Answer: 10.87 g/cm³